[1]
## Mn2ReRh (PBE)

Data for a relaxed structure of Mn2ReRh.

calculated volume	52.7	Å³/cell
E_tot	-9.57	eV/atom

abc: 4.612 4.612 4.610
angles: 132.22 132.22 69.91
Each line ends with the local moment (μB).
Sites, in units of the cell vectors:
Mn 0.000 0.000 0.000  -2.18
Mn 0.750 0.250 0.500  2.13
Re 0.500 0.500 0.000  -0.19
Rh 0.250 0.750 0.500  0.08



[2]
## Mn2ReRh (PBE)

Data for a relaxed structure of Mn2ReRh.

calculated volume	51.6	Å³/cell
E_tot	-9.42	eV/atom

abc: 8.590 8.590 8.590
angles: 17.78 17.78 17.78
Sites, in units of the cell vectors:
Mn 0.254 0.254 0.254
Mn 0.996 0.996 0.996
Re 0.503 0.503 0.503
Rh 0.746 0.746 0.746



[3]
## Mn3ReRh (PBE)

Data for a relaxed structure of Mn3ReRh.

calculated volume	93.6	Å³/cell
E_tot	-8.06	eV/atom

abc: 4.541 4.541 4.541
angles: 90.00 90.00 90.00
Each line ends with the local moment (μB).
Sites, in units of the cell vectors:
Re 0.000 0.000 0.000  -0.66
Mn 0.000 0.000 0.500  2.76
Mn 0.500 0.000 0.000  3.27
Mn 0.000 0.500 0.000  3.01
Rh 0.500 0.500 0.500  0.45



[4]
## MnReRh (PBE)

Data for a relaxed structure of MnReRh.

calculated volume	41.0	Å³/cell
E_tot	-9.66	eV/atom

abc: 5.993 5.993 2.687
angles: 77.05 77.05 25.91
Each line ends with the local moment (μB).
Sites, in units of the cell vectors:
Rh 0.665 0.665 0.335  0.00
Mn 0.999 0.999 0.001  1.99
Re 0.336 0.336 0.664  -0.26



> The highest calculated volume belongs to which entry?

Mn3ReRh